i) A plane-wave DFT calculation with PBE-GGA was carried out for a relaxed YScO2 crystal.

The structure in POSCAR format:
```
YScO2
1.0
0.000 2.876 2.876
2.876 0.000 2.876
2.876 2.876 0.000
Y Sc O
1 1 2
Direct
0.000 0.000 0.000
0.500 0.500 0.500
0.250 0.250 0.250
0.750 0.750 0.750
```

Properties
SG: Fm-3m, No. 225


ii) A plane-wave DFT calculation with PBE-GGA was carried out for a relaxed YScO2 crystal.

The structure in POSCAR format:
```
YScO2
1.0
1.629 0.941 5.660
-1.629 0.941 5.660
0.000 -1.881 5.660
Y Sc O
1 1 2
Direct
0.000 0.000 0.000
0.822 0.822 0.822
0.234 0.234 0.234
0.426 0.426 0.426
```

Properties
SG: R3m, No. 160


Relative energies, in eV/atom, with the most stable structure set to zero: i) 0.548; ii) 0.000.


i) A plane-wave DFT calculation with PBE-GGA was carried out for a relaxed Y2ZrScO crystal.

The structure in POSCAR format:
```
Y2ZrScO
1.0
4.961 0.000 0.000
0.000 4.961 0.000
0.000 0.000 4.353
Y Zr Sc O
2 1 1 1
Direct
0.000 0.500 0.000
0.500 0.000 0.000
0.000 0.000 0.500
0.500 0.500 0.500
0.500 0.500 0.000
```

Properties
SG: P4/mmm, No. 123


ii) A plane-wave DFT calculation with PBE-GGA was carried out for a relaxed Y2ZrScO crystal.

The structure in POSCAR format:
```
Y2ZrScO
1.0
4.896 0.000 0.000
0.000 4.896 0.000
0.000 0.000 4.529
Y Zr Sc O
2 1 1 1
Direct
0.000 0.500 0.000
0.500 0.000 0.000
0.000 0.000 0.500
0.500 0.500 0.500
0.000 0.000 0.000
```

Properties
SG: P4/mmm, No. 123


Relative energies, in eV/atom, with the most stable structure set to zero: i) 0.000; ii) 0.015.


i) A plane-wave DFT calculation with PBE-GGA was carried out for a relaxed ScZn3O crystal.

The structure in POSCAR format:
```
ScZn3O
1.0
4.328 0.000 0.000
0.000 4.328 0.000
0.000 0.000 4.328
Sc Zn O
1 3 1
Direct
0.000 0.000 0.000
0.000 0.500 0.500
0.500 0.000 0.500
0.500 0.500 0.000
0.500 0.500 0.500
```

Properties
SG: Pm-3m, No. 221


ii) A plane-wave DFT calculation with PBE-GGA was carried out for a relaxed ScZn3O crystal.

The structure in POSCAR format:
```
ScZn3O
1.0
5.314 0.000 0.000
0.000 5.314 0.000
0.000 0.000 5.314
Sc Zn O
1 3 1
Direct
0.000 0.000 0.000
0.000 0.000 0.500
0.000 0.500 0.000
0.500 0.000 0.000
0.500 0.500 0.500
```

Properties
SG: Pm-3m, No. 221


Relative energies, in eV/atom, with the most stable structure set to zero: i) 0.000; ii) 1.279.


i) A plane-wave DFT calculation with PBE-GGA was carried out for a relaxed ZrScO crystal.

The structure in POSCAR format:
```
ZrScO
1.0
3.195 0.000 0.000
0.000 3.195 0.000
0.000 0.000 9.630
Zr Sc O
2 2 2
Direct
0.250 0.250 0.147
0.750 0.750 0.853
0.250 0.250 0.630
0.750 0.750 0.370
0.250 0.250 0.900
0.750 0.750 0.100
```

Properties
SG: P4/nmm, No. 129


ii) A plane-wave DFT calculation with PBE-GGA was carried out for a relaxed ZrScO crystal.

The structure in POSCAR format:
```
ZrScO
1.0
3.269 0.000 0.000
0.001 5.707 0.000
1.629 2.839 5.167
Zr Sc O
2 2 2
Direct
0.127 0.301 0.247
0.873 0.699 0.753
0.373 0.207 0.754
0.627 0.793 0.246
0.249 0.771 0.001
0.751 0.229 0.999
```

Properties
SG: P-1, No. 2


Relative energies, in eV/atom, with the most stable structure set to zero: i) 0.172; ii) 0.000.


i) A plane-wave DFT calculation with PBE-GGA was carried out for a relaxed ZrSc3O crystal.

The structure in POSCAR format:
```
ZrSc3O
1.0
4.531 0.000 0.000
0.000 4.531 0.000
0.000 0.000 4.531
Zr Sc O
1 3 1
Direct
0.000 0.000 0.000
0.000 0.500 0.500
0.500 0.000 0.500
0.500 0.500 0.000
0.500 0.500 0.500
```

Properties
SG: Pm-3m, No. 221


ii) A plane-wave DFT calculation with PBE-GGA was carried out for a relaxed ZrSc3O crystal.

The structure in POSCAR format:
```
ZrSc3O
1.0
5.169 -3.250 0.000
5.169 3.250 0.000
-0.007 0.000 5.727
Zr Sc O
2 6 2
Direct
0.000 0.000 0.000
0.749 0.749 0.304
0.001 0.497 0.814
0.246 0.752 0.511
0.247 0.247 0.349
0.493 0.493 0.987
0.497 0.001 0.814
0.752 0.246 0.511
0.119 0.119 0.659
0.379 0.379 0.658
```

Properties
SG: Cm, No. 8


iii) A plane-wave DFT calculation with PBE-GGA was carried out for a relaxed ZrSc3O crystal.

The structure in POSCAR format:
```
ZrSc3O
1.0
5.110 0.000 0.000
0.000 5.110 0.000
0.000 0.000 5.110
Zr Sc O
1 3 1
Direct
0.000 0.000 0.000
0.000 0.000 0.500
0.000 0.500 0.000
0.500 0.000 0.000
0.500 0.500 0.500
```

Properties
SG: Pm-3m, No. 221


Relative energies, in eV/atom, with the most stable structure set to zero: i) 0.055; ii) 0.000; iii) 2.222.


i) A plane-wave DFT calculation with PBE-GGA was carried out for a relaxed SeO crystal.

The structure in POSCAR format:
```
SeO
1.0
9.850 0.000 0.000
0.000 9.850 0.000
0.000 0.000 3.277
Se O
8 8
Direct
0.046 0.166 0.000
0.166 0.954 0.000
0.240 0.574 0.500
0.426 0.240 0.500
0.574 0.760 0.500
0.760 0.426 0.500
0.834 0.046 0.000
0.954 0.834 0.000
0.167 0.424 0.500
0.171 0.657 0.000
0.343 0.171 0.000
0.424 0.833 0.500
0.576 0.167 0.500
0.657 0.829 0.000
0.829 0.343 0.000
0.833 0.576 0.500
```

Properties
SG: P4/m, No. 83


ii) A plane-wave DFT calculation with PBE-GGA was carried out for a relaxed SeO crystal.

The structure in POSCAR format:
```
SeO
1.0
3.064 0.000 0.000
1.531 2.665 0.000
1.498 0.849 4.146
Se O
1 1
Direct
0.000 0.000 0.000
0.867 0.871 0.402
```

Properties
SG: P1, No. 1


iii) A plane-wave DFT calculation with PBE-GGA was carried out for a relaxed SeO crystal.

The structure in POSCAR format:
```
SeO
1.0
10.698 0.000 0.000
-5.349 9.265 0.000
0.000 0.000 2.765
Se O
6 6
Direct
0.150 0.722 0.250
0.278 0.428 0.250
0.428 0.150 0.750
0.572 0.850 0.250
0.722 0.572 0.750
0.850 0.278 0.750
0.137 0.457 0.250
0.321 0.863 0.250
0.457 0.321 0.750
0.543 0.679 0.250
0.679 0.137 0.750
0.863 0.543 0.750
```

Properties
SG: P6_3/m, No. 176


Relative energies, in eV/atom, with the most stable structure set to zero: i) 0.000; ii) 0.061; iii) 0.166.